(a)
# Cd3Te

A relaxed structure of Cd3Te (PBE, Alexandria).

Geometry as POSCAR:
```
Cd3Te
1.0
-2.700 1.880 0.943
-0.971 -1.479 -2.929
-3.307 -7.097 4.679
Cd Te
3 1
Direct
0.000 0.000 0.987
0.500 0.500 0.750
0.000 0.000 0.513
0.500 0.500 0.250
```

Calculated values
Symmetry: Cmmm, No. 65
Mass density: 7.462 Mg/m³
Total magnetic moment: 0.00 μB/cell
Fermi-level density of states: 1.27 states/eV per cell

***

(b)
# Cd3Te

A relaxed structure of Cd3Te (PBE, Alexandria).

Geometry as POSCAR:
```
Cd3Te
1.0
5.077 0.000 0.000
0.000 5.097 0.000
0.000 0.000 8.849
Cd Te
6 2
Direct
0.802 0.000 0.500
0.198 0.500 0.000
0.846 0.500 0.748
0.846 0.500 0.252
0.154 0.000 0.752
0.154 0.000 0.248
0.538 0.000 0.000
0.462 0.500 0.500
```

Calculated values
Symmetry: Pmmn, No. 59
Mass density: 6.743 Mg/m³
Total magnetic moment: 0.00 μB/cell
Fermi-level density of states: 0.81 states/eV per cell

***

Of them, (a) has the lowest stability.

***

(a)
# Cd3Te

A relaxed structure of Cd3Te (PBE, Alexandria).

Geometry as POSCAR:
```
Cd3Te
1.0
-0.542 2.090 6.565
-5.523 -0.938 4.046
5.285 -2.262 -3.835
Cd Te
3 1
Direct
0.835 0.001 0.834
0.333 0.499 0.834
0.083 0.250 0.833
0.583 0.750 0.833
```

Calculated values
Symmetry: Imm2, No. 44
Mass density: 7.141 Mg/m³
Total magnetic moment: 0.00 μB/cell
Fermi-level density of states: 1.16 states/eV per cell

***

(b)
# Cd3Te

A relaxed structure of Cd3Te (PBE, Alexandria).

Geometry as POSCAR:
```
Cd3Te
1.0
-2.669 5.021 0.183
-1.758 0.800 -5.351
-0.808 -3.873 4.088
Te Cd
1 3
Direct
0.500 0.000 0.500
0.244 0.244 0.000
0.000 0.500 0.500
0.756 0.756 0.000
```

Calculated values
Symmetry: Immm, No. 71
Mass density: 7.300 Mg/m³
Total magnetic moment: 0.00 μB/cell
Fermi-level density of states: 1.41 states/eV per cell

***

(c)
# Cd3Te

A relaxed structure of Cd3Te (PBE, Alexandria).

Geometry as POSCAR:
```
Cd3Te
1.0
-3.997 -0.050 1.028
-1.004 -0.716 -3.939
0.334 -5.995 1.005
Cd Te
3 1
Direct
0.000 0.000 0.008
0.500 0.500 0.250
0.000 0.000 0.492
0.500 0.500 0.750
```

Calculated values
Symmetry: P4/mmm, No. 123
Mass density: 7.443 Mg/m³
Total magnetic moment: 0.00 μB/cell
Fermi-level density of states: 2.17 states/eV per cell

***

(d)
# Cd3Te

A relaxed structure of Cd3Te (PBE, Alexandria).

Geometry as POSCAR:
```
Cd3Te
1.0
4.679 0.000 0.000
0.000 4.679 0.000
0.000 0.000 4.679
Cd Te
3 1
Direct
0.500 0.500 0.000
0.000 0.500 0.500
0.500 0.000 0.500
0.000 0.000 0.000
```

Calculated values
Symmetry: Pm-3m, No. 221
Mass density: 7.536 Mg/m³
Total magnetic moment: 0.00 μB/cell
Fermi-level density of states: 3.02 states/eV per cell

***

Of them, (d) has the lowest stability.

***

(a)
# Cd3Te

A relaxed structure of Cd3Te (PBE, Alexandria).

Geometry as POSCAR:
```
Cd3Te
1.0
-2.797 3.206 -3.186
-3.678 -2.035 -3.252
-5.158 0.856 0.955
Cd Te
3 1
Direct
0.500 0.500 0.500
0.250 0.250 0.250
0.000 0.000 0.000
0.750 0.750 0.750
```

Calculated values
Symmetry: Fm-3m, No. 225
Mass density: 7.269 Mg/m³
Total magnetic moment: 0.00 μB/cell
Fermi-level density of states: 3.11 states/eV per cell

***

(b)
# Cd3Te

A relaxed structure of Cd3Te (PBE, Alexandria).

Geometry as POSCAR:
```
Cd3Te
1.0
3.922 -7.604 8.403
1.950 -2.820 11.491
-5.679 3.976 -9.784
Cd Te
6 2
Direct
0.149 0.149 0.000
0.500 0.000 0.500
0.250 0.750 0.500
0.000 0.500 0.500
0.750 0.250 0.500
0.851 0.851 0.000
0.608 0.608 0.000
0.392 0.392 0.000
```

Calculated values
Symmetry: I4/mmm, No. 139
Mass density: 7.326 Mg/m³
Total magnetic moment: 0.00 μB/cell
Fermi-level density of states: 2.31 states/eV per cell

***

(c)
# Cd3Te

A relaxed structure of Cd3Te (PBE, Alexandria).

Geometry as POSCAR:
```
Cd3Te
1.0
4.013 0.000 0.000
0.000 3.112 -0.009
0.000 0.024 8.373
Te Cd
1 3
Direct
0.500 0.250 0.250
0.000 0.250 0.525
0.500 0.750 0.750
0.000 0.250 0.975
```

Calculated values
Symmetry: Pmmm, No. 47
Mass density: 7.381 Mg/m³
Total magnetic moment: 0.00 μB/cell
Fermi-level density of states: 1.84 states/eV per cell

***

Of them, (a) has the lowest stability.

***

(a)
# Cd3Te

A relaxed structure of Cd3Te (PBE, Alexandria).

Geometry as POSCAR:
```
Cd3Te
1.0
-7.435 2.997 5.760
-0.601 -4.737 1.689
5.648 1.588 6.465
Cd Te
12 4
Direct
0.638 0.354 0.512
0.666 0.707 0.250
0.638 0.354 0.988
0.362 0.646 0.488
0.834 0.207 0.250
0.138 0.146 0.488
0.362 0.646 0.012
0.862 0.854 0.512
0.138 0.146 0.012
0.862 0.854 0.988
0.334 0.293 0.750
0.166 0.793 0.750
0.578 0.968 0.750
0.078 0.532 0.250
0.422 0.032 0.250
0.922 0.468 0.750
```

Calculated values
Symmetry: Pnma, No. 62
Mass density: 7.074 Mg/m³
Total magnetic moment: 0.00 μB/cell
Fermi-level density of states: 2.88 states/eV per cell

***

(b)
# Cd3Te

A relaxed structure of Cd3Te (PBE, Alexandria).

Geometry as POSCAR:
```
Cd3Te
1.0
-0.885 2.795 -1.258
-0.818 -0.731 2.995
9.774 4.826 3.848
Cd Te
3 1
Direct
0.000 0.000 0.018
0.667 0.333 0.250
0.000 0.000 0.482
0.667 0.333 0.750
```

Calculated values
Symmetry: P-6m2, No. 187
Mass density: 7.577 Mg/m³
Total magnetic moment: 0.00 μB/cell
Fermi-level density of states: 1.56 states/eV per cell

***

(c)
# Cd3Te

A relaxed structure of Cd3Te (PBE, Alexandria).

Geometry as POSCAR:
```
Cd3Te
1.0
-5.805 -1.133 -5.147
-0.102 -3.714 6.905
-2.118 3.194 1.686
Cd Te
6 2
Direct
0.325 0.162 0.250
0.838 0.675 0.250
0.162 0.325 0.750
0.838 0.162 0.250
0.675 0.838 0.750
0.162 0.838 0.750
0.333 0.667 0.250
0.667 0.333 0.750
```

Calculated values
Symmetry: P6_3/mmc, No. 194
Mass density: 6.925 Mg/m³
Total magnetic moment: 0.00 μB/cell
Fermi-level density of states: 2.18 states/eV per cell

***

Of them, (b) has the lowest stability.

***

(a)
# Cd3Te

A relaxed structure of Cd3Te (PBE, Alexandria).

Geometry as POSCAR:
```
Cd3Te
1.0
6.976 0.859 0.000
3.823 5.898 0.000
-5.400 -3.379 2.972
Cd Te
3 1
Direct
0.250 0.750 0.500
0.500 0.500 0.000
0.750 0.250 0.500
0.000 0.000 0.000
```

Calculated values
Symmetry: I4/mmm, No. 139
Mass density: 6.858 Mg/m³
Total magnetic moment: 0.00 μB/cell
Fermi-level density of states: 1.21 states/eV per cell

***

(b)
# Cd3Te

A relaxed structure of Cd3Te (PBE, Alexandria).

Geometry as POSCAR:
```
Cd3Te
1.0
3.124 -8.550 0.000
3.124 8.550 0.000
0.000 0.000 4.042
Cd Te
6 2
Direct
0.177 0.309 0.250
0.691 0.823 0.250
0.309 0.177 0.750
0.188 0.812 0.250
0.823 0.691 0.750
0.812 0.188 0.750
0.678 0.322 0.250
0.322 0.678 0.750
```

Calculated values
Symmetry: Cmcm, No. 63
Mass density: 7.149 Mg/m³
Total magnetic moment: 0.00 μB/cell
Fermi-level density of states: 3.25 states/eV per cell

***

Of them, (a) has the lowest stability.

***

(a)
# Cd3Te

A relaxed structure of Cd3Te (PBE, Alexandria).

Geometry as POSCAR:
```
Cd3Te
1.0
5.986 0.000 0.000
0.000 5.986 0.000
0.000 0.000 5.986
Cd Te
6 2
Direct
0.000 0.750 0.500
0.250 0.500 0.000
0.000 0.250 0.500
0.500 0.000 0.750
0.750 0.500 0.000
0.500 0.000 0.250
0.000 0.000 0.000
0.500 0.500 0.500
```

Calculated values
Symmetry: Pm-3n, No. 223
Mass density: 7.198 Mg/m³
Total magnetic moment: 0.00 μB/cell
Fermi-level density of states: 4.84 states/eV per cell

***

(b)
# Cd3Te

A relaxed structure of Cd3Te (PBE, Alexandria).

Geometry as POSCAR:
```
Cd3Te
1.0
4.367 -0.019 0.015
2.219 3.761 0.015
2.163 1.229 6.813
Cd Te
3 1
Direct
0.751 0.751 0.747
0.500 0.500 0.500
0.249 0.249 0.253
0.000 0.000 0.000
```

Calculated values
Symmetry: C2/m, No. 12
Mass density: 6.890 Mg/m³
Total magnetic moment: 0.00 μB/cell
Fermi-level density of states: 1.50 states/eV per cell

***

(c)
# Cd3Te

A relaxed structure of Cd3Te (PBE, Alexandria).

Geometry as POSCAR:
```
Cd3Te
1.0
3.807 -4.963 0.000
3.807 4.963 0.000
0.000 0.000 5.597
Cd Te
6 2
Direct
0.380 0.015 0.250
0.015 0.380 0.750
0.620 0.985 0.750
0.892 0.108 0.250
0.985 0.620 0.250
0.108 0.892 0.750
0.475 0.525 0.250
0.525 0.475 0.750
```

Calculated values
Symmetry: Cmcm, No. 63
Mass density: 7.300 Mg/m³
Total magnetic moment: 0.00 μB/cell
Fermi-level density of states: 3.64 states/eV per cell

***

Of them, (a) has the lowest stability.

***

(a)
# Cd3Te

A relaxed structure of Cd3Te (PBE, Alexandria).

Geometry as POSCAR:
```
Cd3Te
1.0
-1.075 1.380 -6.016
3.803 -4.662 -1.749
-4.862 -3.951 -0.038
Cd Te
3 1
Direct
0.000 0.000 0.500
0.000 0.500 0.000
0.500 0.000 0.000
0.000 0.000 0.000
```

Calculated values
Symmetry: Pm-3m, No. 221
Mass density: 3.138 Mg/m³
Total magnetic moment: 0.00 μB/cell
Fermi-level density of states: 5.80 states/eV per cell

***

(b)
# Cd3Te

A relaxed structure of Cd3Te (PBE, Alexandria).

Geometry as POSCAR:
```
Cd3Te
1.0
6.655 -0.028 -0.100
-3.092 5.893 -0.100
-3.092 -5.090 2.970
Cd Te
3 1
Direct
0.500 0.000 0.500
0.000 0.500 0.500
0.000 0.000 0.000
0.500 0.500 0.000
```

Calculated values
Symmetry: R-3m, No. 166
Mass density: 7.054 Mg/m³
Total magnetic moment: 0.00 μB/cell
Fermi-level density of states: 1.22 states/eV per cell

***

(c)
# Cd3Te

A relaxed structure of Cd3Te (PBE, Alexandria).

Geometry as POSCAR:
```
Cd3Te
1.0
-3.023 -0.411 -0.963
-0.461 -3.344 2.873
-2.230 4.625 5.024
Cd Te
3 1
Direct
0.500 0.500 0.725
0.000 0.000 0.500
0.500 0.500 0.275
0.000 0.000 0.000
```

Calculated values
Symmetry: Pmmm, No. 47
Mass density: 7.576 Mg/m³
Total magnetic moment: 0.00 μB/cell
Fermi-level density of states: 1.43 states/eV per cell

***

Of them, (a) has the lowest stability.

***

(a)
# CdTe5

A relaxed structure of CdTe5 (PBE, Alexandria).

Geometry as POSCAR:
```
CdTe5
1.0
-2.683 -5.651 1.201
-5.600 -1.493 -2.643
-0.285 -4.427 -4.572
Te Cd
5 1
Direct
0.127 0.624 0.624
0.624 0.127 0.624
0.250 0.250 0.250
0.624 0.624 0.127
0.624 0.624 0.624
0.000 0.000 0.000
```

Calculated values
Symmetry: F-43m, No. 216
Mass density: 6.817 Mg/m³
Total magnetic moment: 0.00 μB/cell
Fermi-level density of states: 7.43 states/eV per cell

***

(b)
# CdTe5

A relaxed structure of CdTe5 (PBE, Alexandria).

Geometry as POSCAR:
```
CdTe5
1.0
3.508 1.045 4.806
-4.747 -3.730 0.229
3.646 -4.741 -1.630
Te Cd
5 1
Direct
0.001 0.999 0.500
0.423 0.577 0.500
0.702 0.298 0.000
0.399 0.601 0.000
0.711 0.289 0.500
0.099 0.901 0.000
```

Calculated values
Symmetry: Amm2, No. 38
Mass density: 6.509 Mg/m³
Total magnetic moment: 0.00 μB/cell
Fermi-level density of states: 2.81 states/eV per cell

***

Of them, (a) has the lowest stability.

***

(a)
# CdTe5

A relaxed structure of CdTe5 (PBE, Alexandria).

Geometry as POSCAR:
```
CdTe5
1.0
4.023 -6.968 0.000
4.023 6.968 0.000
0.000 0.000 4.096
Te Cd
5 1
Direct
0.500 0.000 0.500
0.500 0.500 0.500
0.667 0.333 0.000
0.000 0.500 0.500
0.333 0.667 0.000
0.000 0.000 0.000
```

Calculated values
Symmetry: P6/mmm, No. 191
Mass density: 5.426 Mg/m³
Total magnetic moment: 0.00 μB/cell
Fermi-level density of states: 5.74 states/eV per cell

***

(b)
# CdTe5

A relaxed structure of CdTe5 (PBE, Alexandria).

Geometry as POSCAR:
```
CdTe5
1.0
2.162 4.164 -0.558
-2.162 4.164 -0.558
0.000 -0.371 11.454
Cd Te
1 5
Direct
0.973 0.973 0.945
0.972 0.972 0.445
0.334 0.334 0.079
0.577 0.577 0.282
0.367 0.367 0.608
0.612 0.612 0.810
```

Calculated values
Symmetry: Cm, No. 8
Mass density: 6.067 Mg/m³
Total magnetic moment: 0.00 μB/cell
Fermi-level density of states: 0.69 states/eV per cell

***

(c)
# CdTe5

A relaxed structure of CdTe5 (PBE, Alexandria).

Geometry as POSCAR:
```
CdTe5
1.0
-6.460 -2.925 0.546
5.806 -4.013 0.875
-0.036 0.849 4.129
Cd Te
1 5
Direct
0.000 0.000 0.500
0.679 0.000 0.000
0.321 0.321 0.000
0.667 0.333 0.500
0.333 0.667 0.500
0.000 0.679 0.000
```

Calculated values
Symmetry: P-62m, No. 189
Mass density: 6.747 Mg/m³
Total magnetic moment: 0.00 μB/cell
Fermi-level density of states: 4.07 states/eV per cell

***

Of them, (a) has the lowest stability.

***

(a)
# CdTe4

A relaxed structure of CdTe4 (PBE, Alexandria).

Geometry as POSCAR:
```
CdTe4
1.0
5.556 0.000 0.000
0.000 5.556 0.000
0.000 0.000 5.556
Cd Te
1 4
Direct
0.500 0.500 0.500
0.500 0.000 0.500
0.000 0.500 0.500
0.500 0.500 0.000
0.000 0.000 0.000
```

Calculated values
Symmetry: Pm-3m, No. 221
Mass density: 6.030 Mg/m³
Total magnetic moment: 0.00 μB/cell
Fermi-level density of states: 5.41 states/eV per cell

***

(b)
# CdTe4

A relaxed structure of CdTe4 (PBE, Alexandria).

Geometry as POSCAR:
```
CdTe4
1.0
-3.476 3.476 3.476
3.476 -3.476 3.476
3.476 3.476 -3.476
Te Cd
4 1
Direct
0.500 0.000 0.000
0.000 0.000 0.500
0.500 0.500 0.500
0.000 0.500 0.000
0.000 0.000 0.000
```

Calculated values
Symmetry: Im-3m, No. 229
Mass density: 6.154 Mg/m³
Total magnetic moment: 0.00 μB/cell
Fermi-level density of states: 4.21 states/eV per cell

***

(c)
# CdTe4

A relaxed structure of CdTe4 (PBE, Alexandria).

Geometry as POSCAR:
```
CdTe4
1.0
-2.100 2.100 9.823
2.100 -2.100 9.823
2.100 2.100 -9.823
Cd Te
1 4
Direct
0.000 0.000 0.000
0.572 0.572 0.000
0.750 0.250 0.500
0.250 0.750 0.500
0.428 0.428 0.000
```

Calculated values
Symmetry: I4/mmm, No. 139
Mass density: 5.970 Mg/m³
Total magnetic moment: 0.00 μB/cell
Fermi-level density of states: 3.54 states/eV per cell

***

Of them, (a) has the lowest stability.